1.
Density functional theory data (GGA-PBE) for crystalline Sm2Y4Ho5 at its relaxed geometry.

a = 12.5902 Å, b = 12.5902 Å, c = 12.5902 Å
α = 163.99°, β = 137.97°, γ = 45.25°
Fractional positions:
Sm1 0.2326 0.2326 0.0000
Sm2 0.7674 0.7674 0.0000
Y1 0.0983 0.0983 0.0000
Y2 0.1913 0.5000 0.6913
Y3 0.8087 0.5000 0.3087
Y4 0.9017 0.9017 0.0000
Ho1 0.1619 0.3569 0.8050
Ho2 0.4482 0.6431 0.8050
Ho3 0.5000 0.0000 0.5000
Ho4 0.5518 0.3569 0.1950
Ho5 0.8381 0.6431 0.1950

ρ = 6684 kg/m3
Energy relative to the elements = 0.238 eV/atom
E_tot = -5.0516 eV/atom


2.
Density functional theory data (GGA-PBE) for crystalline Sm2Y5Ho6 at its relaxed geometry.

a = 11.6433 Å, b = 20.2481 Å, c = 3.5877 Å
α = 90.00°, β = 90.00°, γ = 90.00°
Fractional positions:
Sm1 0.1684 0.2134 0.0000
Sm2 0.3316 0.7134 0.0000
Sm3 0.6684 0.2866 0.0000
Sm4 0.8316 0.7866 0.0000
Y1 0.0000 0.5000 0.5000
Y2 0.0903 0.7764 0.5000
Y3 0.1987 0.0517 0.5000
Y4 0.3013 0.5517 0.5000
Y5 0.4097 0.2764 0.5000
Y6 0.5000 0.0000 0.5000
Y7 0.5903 0.7236 0.5000
Y8 0.6987 0.4483 0.5000
Y9 0.8013 0.9483 0.5000
Y10 0.9097 0.2236 0.5000
Ho1 0.0608 0.9215 0.0000
Ho2 0.0803 0.6336 0.0000
Ho3 0.1750 0.3684 0.5000
Ho4 0.3250 0.8684 0.5000
Ho5 0.4197 0.1336 0.0000
Ho6 0.4392 0.4215 0.0000
Ho7 0.5608 0.5785 0.0000
Ho8 0.5803 0.8664 0.0000
Ho9 0.6750 0.1316 0.5000
Ho10 0.8250 0.6316 0.5000
Ho11 0.9197 0.3664 0.0000
Ho12 0.9392 0.0785 0.0000

ρ = 6812 kg/m3
Energy relative to the elements = 0.101 eV/atom
E_tot = -5.2241 eV/atom


3.
Density functional theory data (GGA-PBE) for crystalline Sm3YHo4 at its relaxed geometry.

a = 11.8779 Å, b = 11.8779 Å, c = 6.7023 Å
α = 106.32°, β = 106.32°, γ = 16.89°
Fractional positions:
Sm1 0.0000 0.0000 0.0000
Sm2 0.1265 0.1265 0.8724
Sm3 0.8735 0.8735 0.1276
Y1 0.5000 0.5000 0.5000
Ho1 0.1250 0.1250 0.3841
Ho2 0.2601 0.2601 0.2669
Ho3 0.7399 0.7399 0.7331
Ho4 0.8750 0.8750 0.6159

ρ = 7561 kg/m3
Energy relative to the elements = 0.159 eV/atom
E_tot = -4.7073 eV/atom


4.
Density functional theory data (GGA-PBE) for crystalline Sm2Y7Ho2 at its relaxed geometry.

a = 8.0711 Å, b = 8.0711 Å, c = 6.0674 Å
α = 105.77°, β = 105.77°, γ = 92.31°
Fractional positions:
Sm1 0.2123 0.7877 0.0000
Sm2 0.7877 0.2123 0.0000
Y1 0.0000 0.0000 0.5000
Y2 0.0646 0.5884 0.3225
Y3 0.4091 0.4091 0.6951
Y4 0.4116 0.9354 0.6775
Y5 0.5884 0.0646 0.3225
Y6 0.5909 0.5909 0.3049
Y7 0.9354 0.4116 0.6775
Ho1 0.2313 0.2313 0.0841
Ho2 0.7687 0.7687 0.9159

ρ = 5727 kg/m3
Energy relative to the elements = 0.159 eV/atom
E_tot = -5.6446 eV/atom


5.
Density functional theory data (GGA-PBE) for crystalline Sm4YHo5 at its relaxed geometry.

a = 8.7626 Å, b = 8.7626 Å, c = 11.1250 Å
α = 90.12°, β = 90.12°, γ = 23.21°
Fractional positions:
Sm1 0.0305 0.0305 0.2489
Sm2 0.3452 0.3452 0.2498
Sm3 0.6548 0.6548 0.7502
Sm4 0.9695 0.9695 0.7511
Y1 0.5000 0.5000 0.5000
Ho1 0.1737 0.1737 0.0518
Ho2 0.1743 0.1743 0.4467
Ho3 0.5000 0.5000 0.0000
Ho4 0.8257 0.8257 0.5533
Ho5 0.8263 0.8263 0.9482

ρ = 7473 kg/m3
Energy relative to the elements = 0.192 eV/atom
E_tot = -4.6314 eV/atom


6.
Density functional theory data (GGA-PBE) for crystalline Sm4Y4Ho3 at its relaxed geometry.

a = 12.0921 Å, b = 12.0921 Å, c = 12.0921 Å
α = 162.88°, β = 134.77°, γ = 48.70°
Fractional positions:
Sm1 0.0364 0.8576 0.1788
Sm2 0.3212 0.1424 0.1788
Sm3 0.6788 0.8576 0.8212
Sm4 0.9636 0.1424 0.8212
Y1 0.2583 0.7583 0.5000
Y2 0.3177 0.0000 0.3177
Y3 0.6823 0.0000 0.6823
Y4 0.7417 0.2417 0.5000
Ho1 0.0000 0.5000 0.5000
Ho2 0.3913 0.3913 0.0000
Ho3 0.6087 0.6087 0.0000

ρ = 6538 kg/m3
Energy relative to the elements = 0.126 eV/atom
E_tot = -5.1888 eV/atom


7.
Density functional theory data (GGA-PBE) for crystalline Sm3Y2Ho3 at its relaxed geometry.

a = 10.7335 Å, b = 10.7335 Å, c = 10.7335 Å
α = 152.78°, β = 152.75°, γ = 38.90°
Fractional positions:
Sm1 0.0000 0.0000 0.0000
Sm2 0.3759 0.8759 0.5000
Sm3 0.6241 0.1241 0.5000
Y1 0.2495 0.2495 0.0000
Y2 0.7505 0.7505 0.0000
Ho1 0.1251 0.6251 0.5000
Ho2 0.5000 0.5000 0.0000
Ho3 0.8749 0.3749 0.5000

ρ = 7217 kg/m3
Energy relative to the elements = 0.021 eV/atom
E_tot = -5.0816 eV/atom


8.
Density functional theory data (GGA-PBE) for crystalline Sm7YHo12 at its relaxed geometry.

a = 9.7412 Å, b = 9.7412 Å, c = 9.7412 Å
α = 109.47°, β = 109.47°, γ = 109.47°
Fractional positions:
Sm1 0.0000 0.0000 0.5000
Sm2 0.0000 0.5000 0.0000
Sm3 0.0000 0.5000 0.5000
Sm4 0.5000 0.0000 0.0000
Sm5 0.5000 0.0000 0.5000
Sm6 0.5000 0.5000 0.0000
Sm7 0.5000 0.5000 0.5000
Y1 0.0000 0.0000 0.0000
Ho1 0.0000 0.2485 0.7515
Ho2 0.0000 0.7515 0.2485
Ho3 0.2485 0.0000 0.7515
Ho4 0.2485 0.2485 0.4970
Ho5 0.2485 0.4970 0.2485
Ho6 0.2485 0.7515 0.0000
Ho7 0.4970 0.2485 0.2485
Ho8 0.5030 0.7515 0.7515
Ho9 0.7515 0.0000 0.2485
Ho10 0.7515 0.2485 0.0000
Ho11 0.7515 0.5030 0.7515
Ho12 0.7515 0.7515 0.5030

ρ = 7282 kg/m3
Energy relative to the elements = 0.667 eV/atom
E_tot = -4.0549 eV/atom


9.
Density functional theory data (GGA-PBE) for crystalline Sm7YHo12 at its relaxed geometry.

a = 8.7534 Å, b = 8.7534 Å, c = 8.7534 Å
α = 85.98°, β = 85.98°, γ = 85.98°
Fractional positions:
Sm1 0.0000 0.0000 0.0000
Sm2 0.1015 0.4255 0.3453
Sm3 0.3453 0.1015 0.4255
Sm4 0.4255 0.3453 0.1015
Sm5 0.5745 0.6547 0.8985
Sm6 0.6547 0.8985 0.5745
Sm7 0.8985 0.5745 0.6547
Y1 0.5000 0.5000 0.5000
Ho1 0.0035 0.8806 0.3670
Ho2 0.1194 0.6330 0.9965
Ho3 0.2272 0.3520 0.7557
Ho4 0.2443 0.7728 0.6480
Ho5 0.3520 0.7557 0.2272
Ho6 0.3670 0.0035 0.8806
Ho7 0.6330 0.9965 0.1194
Ho8 0.6480 0.2443 0.7728
Ho9 0.7557 0.2272 0.3520
Ho10 0.7728 0.6480 0.2443
Ho11 0.8806 0.3670 0.0035
Ho12 0.9965 0.1194 0.6330

ρ = 7781 kg/m3
Energy relative to the elements = 0.236 eV/atom
E_tot = -4.4853 eV/atom


10.
Density functional theory data (GGA-PBE) for crystalline Sm14YHo at its relaxed geometry.

a = 7.2500 Å, b = 7.2500 Å, c = 10.2072 Å
α = 90.00°, β = 90.00°, γ = 90.00°
Fractional positions:
Sm1 0.0000 0.0000 0.0000
Sm2 0.0000 0.5000 0.0000
Sm3 0.0000 0.5000 0.5000
Sm4 0.2505 0.2505 0.2512
Sm5 0.2505 0.2505 0.7488
Sm6 0.2505 0.7495 0.2512
Sm7 0.2505 0.7495 0.7488
Sm8 0.5000 0.0000 0.0000
Sm9 0.5000 0.0000 0.5000
Sm10 0.5000 0.5000 0.0000
Sm11 0.7495 0.2505 0.2512
Sm12 0.7495 0.2505 0.7488
Sm13 0.7495 0.7495 0.2512
Sm14 0.7495 0.7495 0.7488
Y1 0.0000 0.0000 0.5000
Ho1 0.5000 0.5000 0.5000

ρ = 7301 kg/m3
Energy relative to the elements = 0.015 eV/atom
E_tot = -4.8040 eV/atom


11.
Density functional theory data (GGA-PBE) for crystalline Sm3Y2Ho at its relaxed geometry.

a = 6.2413 Å, b = 6.2413 Å, c = 11.6087 Å
α = 90.00°, β = 90.00°, γ = 59.98°
Fractional positions:
Sm1 0.0000 0.0000 0.0000
Sm2 0.0000 0.0000 0.5000
Sm3 0.3343 0.3343 0.0000
Sm4 0.3343 0.3343 0.5000
Sm5 0.6657 0.6657 0.0000
Sm6 0.6657 0.6657 0.5000
Y1 0.0004 0.3327 0.2500
Y2 0.9996 0.6673 0.7500
Y3 0.3327 0.0004 0.7500
Y4 0.6673 0.9996 0.2500
Ho1 0.3339 0.6661 0.2500
Ho2 0.6661 0.3339 0.7500

ρ = 6733 kg/m3
Energy relative to the elements = -0.003 eV/atom
E_tot = -5.2800 eV/atom


12.
Density functional theory data (GGA-PBE) for crystalline Sm2Y3Ho6 at its relaxed geometry.

a = 16.8395 Å, b = 16.8395 Å, c = 16.8395 Å
α = 163.84°, β = 163.84°, γ = 22.93°
Fractional positions:
Sm1 0.0460 0.0460 0.0000
Sm2 0.9540 0.9540 0.0000
Y1 0.2974 0.2974 0.0000
Y2 0.5000 0.5000 0.0000
Y3 0.7026 0.7026 0.0000
Ho1 0.1208 0.6208 0.5000
Ho2 0.1931 0.1931 0.0000
Ho3 0.3792 0.8792 0.5000
Ho4 0.6208 0.1208 0.5000
Ho5 0.8069 0.8069 0.0000
Ho6 0.8792 0.3792 0.5000

ρ = 6993 kg/m3
Energy relative to the elements = 0.268 eV/atom
E_tot = -4.8498 eV/atom